*P*
Material: NpV2Ge
Method: DFT, PBE-GGA
State: optimized geometry

Structure (CIF):
```
data_NpV2Ge
_cell_length_a 3.2542
_cell_length_b 3.2542
_cell_length_c 6.1707
_cell_angle_alpha 90.00
_cell_angle_beta 90.00
_cell_angle_gamma 90.00
_space_group_name_H-M_alt 'P 4/m m m'
_space_group_IT_number 123
_space_group_name_Hall '-P 4 2'
loop_
_atom_site_label
_atom_site_fract_x
_atom_site_fract_y
_atom_site_fract_z
Np1 0.0000 0.0000 0.0000
V1 0.5000 0.5000 0.2961
Ge1 0.0000 0.0000 0.5000
```

=====

*Q*
Material: NpV2Ge
Method: DFT, PBE-GGA
State: optimized geometry

Structure (CIF):
```
data_NpV2Ge
_cell_length_a 6.2983
_cell_length_b 6.2983
_cell_length_c 6.2983
_cell_angle_alpha 90.00
_cell_angle_beta 90.00
_cell_angle_gamma 90.00
_space_group_name_H-M_alt 'F m -3 m'
_space_group_IT_number 225
_space_group_name_Hall '-F 4 2 3'
loop_
_atom_site_label
_atom_site_fract_x
_atom_site_fract_y
_atom_site_fract_z
Np1 0.0000 0.0000 0.0000
V1 0.2500 0.2500 0.2500
Ge1 0.0000 0.0000 0.5000
```

=====

*R*
Material: NpV2Ge
Method: DFT, PBE-GGA
State: optimized geometry

Structure (CIF):
```
data_NpV2Ge
_cell_length_a 4.2868
_cell_length_b 4.2868
_cell_length_c 3.3564
_cell_angle_alpha 90.00
_cell_angle_beta 90.00
_cell_angle_gamma 90.00
_space_group_name_H-M_alt 'P 4/m m m'
_space_group_IT_number 123
_space_group_name_Hall '-P 4 2'
loop_
_atom_site_label
_atom_site_fract_x
_atom_site_fract_y
_atom_site_fract_z
Np1 0.0000 0.0000 0.0000
V1 0.0000 0.5000 0.5000
Ge1 0.5000 0.5000 0.0000
```

=====

Most stable: *R* (next structure +7.2 kJ/mol of atoms)

=====

*P*
Material: ZrNpGe2
Method: DFT, PBE-GGA
State: optimized geometry

Structure (CIF):
```
data_ZrNpGe2
_cell_length_a 3.6346
_cell_length_b 3.6346
_cell_length_c 6.1659
_cell_angle_alpha 90.00
_cell_angle_beta 90.00
_cell_angle_gamma 90.00
_space_group_name_H-M_alt 'P 4/m m m'
_space_group_IT_number 123
_space_group_name_Hall '-P 4 2'
loop_
_atom_site_label
_atom_site_fract_x
_atom_site_fract_y
_atom_site_fract_z
Zr1 0.0000 0.0000 0.0000
Np1 0.0000 0.0000 0.5000
Ge1 0.5000 0.5000 0.2185
```

=====

*Q*
Material: ZrNpGe2
Method: DFT, PBE-GGA
State: optimized geometry

Structure (CIF):
```
data_ZrNpGe2
_cell_length_a 3.8865
_cell_length_b 3.8865
_cell_length_c 20.6251
_cell_angle_alpha 90.00
_cell_angle_beta 90.00
_cell_angle_gamma 120.00
_space_group_name_H-M_alt 'R -3 m'
_space_group_IT_number 166
_space_group_name_Hall '-R 3 2"'
loop_
_atom_site_label
_atom_site_fract_x
_atom_site_fract_y
_atom_site_fract_z
Zr1 0.0000 0.0000 0.0000
Np1 0.0000 0.0000 0.5000
Ge1 0.0000 0.0000 0.2551
```

=====

Most stable: *Q* (next structure +1.6 kJ/mol of atoms)

=====

*P*
Material: GeOs2O
Method: DFT, PBE-GGA
State: optimized geometry

Structure (CIF):
```
data_GeOs2O
_cell_length_a 5.8935
_cell_length_b 5.8935
_cell_length_c 5.8935
_cell_angle_alpha 90.00
_cell_angle_beta 90.00
_cell_angle_gamma 90.00
_space_group_name_H-M_alt 'F m -3 m'
_space_group_IT_number 225
_space_group_name_Hall '-F 4 2 3'
loop_
_atom_site_label
_atom_site_fract_x
_atom_site_fract_y
_atom_site_fract_z
Ge1 0.0000 0.0000 0.0000
Os1 0.2500 0.2500 0.2500
O1 0.0000 0.0000 0.5000
```

=====

*Q*
Material: GeOs2O
Method: DFT, PBE-GGA
State: optimized geometry

Structure (CIF):
```
data_GeOs2O
_cell_length_a 5.3292
_cell_length_b 5.3292
_cell_length_c 9.0560
_cell_angle_alpha 90.00
_cell_angle_beta 90.00
_cell_angle_gamma 90.00
_space_group_name_H-M_alt 'I -4 2 d'
_space_group_IT_number 122
_space_group_name_Hall 'I -4 2bw'
loop_
_atom_site_label
_atom_site_fract_x
_atom_site_fract_y
_atom_site_fract_z
Ge1 0.0000 0.0000 0.0000
Os1 0.1769 0.2500 0.6250
O1 0.0000 0.0000 0.5000
```

=====

Most stable: *P* (next structure +3.1 kJ/mol of atoms)

=====

*P*
Material: GeOs3O
Method: DFT, PBE-GGA
State: optimized geometry

Structure (CIF):
```
data_GeOs3O
_cell_length_a 4.5638
_cell_length_b 4.5638
_cell_length_c 4.5638
_cell_angle_alpha 90.00
_cell_angle_beta 90.00
_cell_angle_gamma 90.00
_space_group_name_H-M_alt 'P m -3 m'
_space_group_IT_number 221
_space_group_name_Hall '-P 4 2 3'
loop_
_atom_site_label
_atom_site_fract_x
_atom_site_fract_y
_atom_site_fract_z
Ge1 0.0000 0.0000 0.0000
Os1 0.0000 0.0000 0.5000
O1 0.5000 0.5000 0.5000
```

=====

*Q*
Material: GeOs3O
Method: DFT, PBE-GGA
State: optimized geometry

Structure (CIF):
```
data_GeOs3O
_cell_length_a 4.1051
_cell_length_b 4.1051
_cell_length_c 4.1051
_cell_angle_alpha 90.00
_cell_angle_beta 90.00
_cell_angle_gamma 90.00
_space_group_name_H-M_alt 'P m -3 m'
_space_group_IT_number 221
_space_group_name_Hall '-P 4 2 3'
loop_
_atom_site_label
_atom_site_fract_x
_atom_site_fract_y
_atom_site_fract_z
Ge1 0.0000 0.0000 0.0000
Os1 0.0000 0.5000 0.5000
O1 0.5000 0.5000 0.5000
```

=====

Most stable: *Q* (next structure +145.5 kJ/mol of atoms)

=====

*P*
Material: GeP2OsO
Method: DFT, PBE-GGA
State: optimized geometry

Structure (CIF):
```
data_GeP2OsO
_cell_length_a 4.7411
_cell_length_b 4.7411
_cell_length_c 3.4290
_cell_angle_alpha 90.00
_cell_angle_beta 90.00
_cell_angle_gamma 90.00
_space_group_name_H-M_alt 'P 4/m m m'
_space_group_IT_number 123
_space_group_name_Hall '-P 4 2'
loop_
_atom_site_label
_atom_site_fract_x
_atom_site_fract_y
_atom_site_fract_z
Ge1 0.0000 0.0000 0.0000
P1 0.0000 0.5000 0.0000
Os1 0.5000 0.5000 0.5000
O1 0.0000 0.0000 0.5000
```

=====

*Q*
Material: GeP2OsO
Method: DFT, PBE-GGA
State: optimized geometry

Structure (CIF):
```
data_GeP2OsO
_cell_length_a 4.8217
_cell_length_b 4.8217
_cell_length_c 3.6680
_cell_angle_alpha 90.00
_cell_angle_beta 90.00
_cell_angle_gamma 90.00
_space_group_name_H-M_alt 'P 4/m m m'
_space_group_IT_number 123
_space_group_name_Hall '-P 4 2'
loop_
_atom_site_label
_atom_site_fract_x
_atom_site_fract_y
_atom_site_fract_z
Ge1 0.0000 0.0000 0.0000
P1 0.0000 0.5000 0.5000
Os1 0.5000 0.5000 0.5000
O1 0.5000 0.5000 0.0000
```

=====

Most stable: *Q* (next structure +63.1 kJ/mol of atoms)

=====

*P*
Material: GePO2
Method: DFT, PBE-GGA
State: optimized geometry

Structure (CIF):
```
data_GePO2
_cell_length_a 2.9902
_cell_length_b 2.9902
_cell_length_c 19.7679
_cell_angle_alpha 90.00
_cell_angle_beta 90.00
_cell_angle_gamma 120.00
_space_group_name_H-M_alt 'R -3 m'
_space_group_IT_number 166
_space_group_name_Hall '-R 3 2"'
loop_
_atom_site_label
_atom_site_fract_x
_atom_site_fract_y
_atom_site_fract_z
Ge1 0.0000 0.0000 0.0000
P1 0.0000 0.0000 0.5000
O1 0.0000 0.0000 0.1103
```

=====

*Q*
Material: GePO2
Method: DFT, PBE-GGA
State: optimized geometry

Structure (CIF):
```
data_GePO2
_cell_length_a 5.5643
_cell_length_b 5.5643
_cell_length_c 7.8566
_cell_angle_alpha 90.00
_cell_angle_beta 90.00
_cell_angle_gamma 90.00
_space_group_name_H-M_alt 'I 41/a m d'
_space_group_IT_number 141
loop_
_space_group_symop_operation_xyz
'x,y,z'
'-x,-y,-z'
'-y+1/4,x+3/4,z+1/4'
'y+1/4,-x+3/4,-z+1/4'
'-x+1/2,-y,z+1/2'
'x+1/2,y,-z+1/2'
'y+1/4,-x+1/4,z+3/4'
'-y+1/4,x+1/4,-z+3/4'
'x,-y,-z'
'-x,y,z'
'-y+1/4,-x+1/4,-z+3/4'
'y+1/4,x+1/4,z+3/4'
'-x+1/2,y,-z+1/2'
'x+1/2,-y,z+1/2'
'y+1/4,x+3/4,-z+1/4'
'-y+1/4,-x+3/4,z+1/4'
'x+1/2,y+1/2,z+1/2'
'-x+1/2,-y+1/2,-z+1/2'
'-y+3/4,x+1/4,z+3/4'
'y+3/4,-x+1/4,-z+3/4'
'-x,-y+1/2,z'
'x,y+1/2,-z'
'y+3/4,-x+3/4,z+1/4'
'-y+3/4,x+3/4,-z+1/4'
'x+1/2,-y+1/2,-z+1/2'
'-x+1/2,y+1/2,z+1/2'
'-y+3/4,-x+3/4,-z+1/4'
'y+3/4,x+3/4,z+1/4'
'-x,y+1/2,-z'
'x,-y+1/2,z'
'y+3/4,x+1/4,-z+3/4'
'-y+3/4,-x+1/4,z+3/4'
loop_
_atom_site_label
_atom_site_fract_x
_atom_site_fract_y
_atom_site_fract_z
Ge1 0.0000 0.2500 0.3750
P1 0.0000 0.2500 0.8750
O1 0.0000 0.0000 0.0000
```

=====

*R*
Material: GePO2
Method: DFT, PBE-GGA
State: optimized geometry

Structure (CIF):
```
data_GePO2
_cell_length_a 3.0930
_cell_length_b 3.0930
_cell_length_c 19.0547
_cell_angle_alpha 90.00
_cell_angle_beta 90.00
_cell_angle_gamma 120.00
_space_group_name_H-M_alt 'R -3 m'
_space_group_IT_number 166
_space_group_name_Hall '-R 3 2"'
loop_
_atom_site_label
_atom_site_fract_x
_atom_site_fract_y
_atom_site_fract_z
Ge1 0.0000 0.0000 0.0000
P1 0.0000 0.0000 0.5000
O1 0.0000 0.0000 0.4095
```

=====

*S*
Material: GePO2
Method: DFT, PBE-GGA
State: optimized geometry

Structure (CIF):
```
data_GePO2
_cell_length_a 5.6809
_cell_length_b 5.6809
_cell_length_c 5.6809
_cell_angle_alpha 90.00
_cell_angle_beta 90.00
_cell_angle_gamma 90.00
_space_group_name_H-M_alt 'F m -3 m'
_space_group_IT_number 225
_space_group_name_Hall '-F 4 2 3'
loop_
_atom_site_label
_atom_site_fract_x
_atom_site_fract_y
_atom_site_fract_z
Ge1 0.0000 0.0000 0.0000
P1 0.0000 0.0000 0.5000
O1 0.2500 0.2500 0.2500
```

=====

Most stable: *R* (next structure +15.4 kJ/mol of atoms)

=====

*P*
Material: GeP2O
Method: DFT, PBE-GGA
State: optimized geometry

Structure (CIF):
```
data_GeP2O
_cell_length_a 4.5884
_cell_length_b 4.5884
_cell_length_c 12.5167
_cell_angle_alpha 90.00
_cell_angle_beta 90.00
_cell_angle_gamma 90.00
_space_group_name_H-M_alt 'I -4 2 d'
_space_group_IT_number 122
_space_group_name_Hall 'I -4 2bw'
loop_
_atom_site_label
_atom_site_fract_x
_atom_site_fract_y
_atom_site_fract_z
Ge1 0.0000 0.0000 0.0000
P1 0.1412 0.2500 0.6250
O1 0.0000 0.0000 0.5000
```

=====

*Q*
Material: GeP2O
Method: DFT, PBE-GGA
State: optimized geometry

Structure (CIF):
```
data_GeP2O
_cell_length_a 5.9681
_cell_length_b 5.9681
_cell_length_c 5.9681
_cell_angle_alpha 90.00
_cell_angle_beta 90.00
_cell_angle_gamma 90.00
_space_group_name_H-M_alt 'F m -3 m'
_space_group_IT_number 225
_space_group_name_Hall '-F 4 2 3'
loop_
_atom_site_label
_atom_site_fract_x
_atom_site_fract_y
_atom_site_fract_z
Ge1 0.0000 0.0000 0.0000
P1 0.2500 0.2500 0.2500
O1 0.0000 0.0000 0.5000
```

=====

Most stable: *P* (next structure +38.9 kJ/mol of atoms)

=====

*P*
Material: GePPdO2
Method: DFT, PBE-GGA
State: optimized geometry

Structure (CIF):
```
data_GePPdO2
_cell_length_a 3.5233
_cell_length_b 3.5233
_cell_length_c 6.2018
_cell_angle_alpha 90.00
_cell_angle_beta 90.00
_cell_angle_gamma 90.00
_space_group_name_H-M_alt 'P 4/m m m'
_space_group_IT_number 123
_space_group_name_Hall '-P 4 2'
loop_
_atom_site_label
_atom_site_fract_x
_atom_site_fract_y
_atom_site_fract_z
Ge1 0.0000 0.0000 0.0000
P1 0.0000 0.0000 0.5000
Pd1 0.5000 0.5000 0.5000
O1 0.0000 0.5000 0.0000
```

=====

*Q*
Material: GePPdO2
Method: DFT, PBE-GGA
State: optimized geometry

Structure (CIF):
```
data_GePPdO2
_cell_length_a 3.9192
_cell_length_b 3.9192
_cell_length_c 4.8893
_cell_angle_alpha 90.00
_cell_angle_beta 90.00
_cell_angle_gamma 90.00
_space_group_name_H-M_alt 'P 4/m m m'
_space_group_IT_number 123
_space_group_name_Hall '-P 4 2'
loop_
_atom_site_label
_atom_site_fract_x
_atom_site_fract_y
_atom_site_fract_z
Ge1 0.0000 0.0000 0.0000
P1 0.5000 0.5000 0.0000
Pd1 0.5000 0.5000 0.5000
O1 0.0000 0.5000 0.5000
```

=====

Most stable: *P* (next structure +48.8 kJ/mol of atoms)